[1]
DFT (meta-GGA SCAN) results for a PBEsol-optimized structure of Ta2TlTc.

Unit cell a=4.0051 b=4.0051 c=8.6853 alpha=90.00 beta=90.00 gamma=90.00
Space group I-4m2 (No. 119)
Symmetry-distinct sites (fractional):
Ta  0.0000  0.0000  0.0000 [2 per cell]
Ta  0.0000  0.5000  0.2500 [2 per cell]
Tl  0.0000  0.5000  0.7500 [2 per cell]
Tc  0.0000  0.0000  0.5000 [2 per cell]

Results
* M_tot: 0.00 μB per formula unit
* DOS at the Fermi energy: 2.43 states/eV/f.u.
* density: 15835 kg/m3
* calculated formation energy: 322 meV per atom
* volume: 17.42 Å³/atom

***

[2]
DFT (meta-GGA SCAN) results for a PBEsol-optimized structure of ScIn3Au.

Unit cell a=5.4044 b=5.4044 c=5.4044 alpha=90.00 beta=90.00 gamma=90.00
Space group Pm-3m (No. 221)
Symmetry-distinct sites (fractional):
Sc  0.0000  0.0000  0.0000 [1 per cell]
In  0.0000  0.0000  0.5000 [3 per cell]
Au  0.5000  0.5000  0.5000 [1 per cell]

Results
* M_tot: 1.10 μB per formula unit
* DOS at the Fermi energy: 4.60 states/eV/f.u.
* density: 6168 kg/m3
* calculated formation energy: 749 meV per atom
* volume: 31.57 Å³/atom

***

[3]
DFT (meta-GGA SCAN) results for a PBEsol-optimized structure of CoIr3.

Unit cell a=8.5039 b=8.5039 c=2.6445 alpha=90.00 beta=90.00 gamma=120.00
Space group R-3m (No. 166, hexagonal axes)
Symmetry-distinct sites (fractional):
Co  0.0000  0.0000  0.0000 [3 per cell]
Ir  0.0000  0.5000  0.0000 [9 per cell]

Results
* M_tot: 4.26 μB per formula unit
* DOS at the Fermi energy: 4.23 states/eV/f.u.
* density: 19118 kg/m3
* calculated formation energy: 407 meV per atom
* volume: 13.80 Å³/atom

***

[4]
DFT (meta-GGA SCAN) results for a PBEsol-optimized structure of Rb3CuH.

Unit cell a=5.6102 b=5.6102 c=5.6102 alpha=90.00 beta=90.00 gamma=90.00
Space group Pm-3m (No. 221)
Symmetry-distinct sites (fractional):
Rb  0.0000  0.0000  0.5000 [3 per cell]
Cu  0.5000  0.5000  0.5000 [1 per cell]
H  0.0000  0.0000  0.0000 [1 per cell]

Results
* M_tot: 0.02 μB per formula unit
* DOS at the Fermi energy: 3.38 states/eV/f.u.
* density: 3018 kg/m3
* VASP energy: -15.98 eV per atom
* volume: 35.31 Å³/atom

***

[5]
DFT (meta-GGA SCAN) results for a PBEsol-optimized structure of TcPW.

Unit cell a=2.8880 b=2.8880 c=9.6600 alpha=90.00 beta=90.00 gamma=90.00
Space group I4mm (No. 107)
Symmetry-distinct sites (fractional):
Tc  0.0000  0.0000  0.0000 [2 per cell]
P  0.0000  0.0000  0.3646 [2 per cell]
W  0.0000  0.0000  0.6977 [2 per cell]

Results
* M_tot: 0.00 μB per formula unit
* DOS at the Fermi energy: 1.40 states/eV/f.u.
* density: 12894 kg/m3
* calculated formation energy: -168 meV per atom
* volume: 13.43 Å³/atom

***

[6]
DFT (meta-GGA SCAN) results for a PBEsol-optimized structure of LiNbNiH2.

Unit cell a=3.4435 b=3.4435 c=4.1103 alpha=90.00 beta=90.00 gamma=90.00
Space group P4/mmm (No. 123)
Symmetry-distinct sites (fractional):
Li  0.0000  0.0000  0.0000 [1 per cell]
Nb  0.5000  0.5000  0.5000 [1 per cell]
Ni  0.0000  0.0000  0.5000 [1 per cell]
H  0.0000  0.5000  0.0000 [2 per cell]

Results
* M_tot: 0.00 μB per formula unit
* DOS at the Fermi energy: 2.09 states/eV/f.u.
* density: 5470 kg/m3
* VASP energy: -11.19 eV per atom
* volume: 9.75 Å³/atom

***

[7]
DFT (meta-GGA SCAN) results for a PBEsol-optimized structure of LaTa2SbC.

Unit cell a=5.0989 b=5.0989 c=4.0986 alpha=90.00 beta=90.00 gamma=90.00
Space group P4/mmm (No. 123)
Symmetry-distinct sites (fractional):
La  0.0000  0.0000  0.0000 [1 per cell]
Ta  0.0000  0.5000  0.0000 [2 per cell]
Sb  0.5000  0.5000  0.5000 [1 per cell]
C  0.0000  0.0000  0.5000 [1 per cell]

Results
* M_tot: 0.00 μB per formula unit
* DOS at the Fermi energy: 4.63 states/eV/f.u.
* density: 9889 kg/m3
* uncorrected formation energy: 2.470 eV per atom
* volume: 21.31 Å³/atom

***

[8]
DFT (meta-GGA SCAN) results for a PBEsol-optimized structure of Ni5P6O22.

Unit cell a=12.5221 b=6.3699 c=10.0644 alpha=90.00 beta=105.22 gamma=90.00
Space group P2_1/c (No. 14)
Symmetry-distinct sites (fractional):
Ni  0.0000  0.0000  0.0000 [2 per cell]
Ni  0.1353  0.2390  0.7882 [4 per cell]
Ni  0.3368  0.0172  0.8056 [4 per cell]
P  0.0814  0.7337  0.7750 [4 per cell]
P  0.2516  0.0970  0.0761 [4 per cell]
P  0.4170  0.7193  0.5858 [4 per cell]
O  0.0086  0.2218  0.1403 [4 per cell]
O  0.0135  0.2062  0.8673 [4 per cell]
O  0.1492  0.5404  0.8261 [4 per cell]
O  0.1531  0.5761  0.2664 [4 per cell]
O  0.1570  0.5596  0.5534 [4 per cell]
O  0.2402  0.2308  0.6790 [4 per cell]
O  0.2637  0.1936  0.9388 [4 per cell]
O  0.3657  0.5118  0.6426 [4 per cell]
O  0.3715  0.5918  0.1433 [4 per cell]
O  0.3781  0.7118  0.4281 [4 per cell]
O  0.4583  0.1988  0.8619 [4 per cell]

Results
* M_tot: 8.18 μB per formula unit
* DOS at the Fermi energy: 10.11 states/eV/f.u.
* density: 3564 kg/m3
* uncorrected formation energy: -1.938 eV per atom
* volume: 11.74 Å³/atom

***

[9]
DFT (meta-GGA SCAN) results for a PBEsol-optimized structure of LiMgHg.

Unit cell a=4.6232 b=4.6232 c=3.0698 alpha=90.00 beta=90.00 gamma=120.00
Space group P3m1 (No. 156)
Symmetry-distinct sites (fractional):
Li  0.0000  0.0000  0.0000 [1 per cell]
Mg  0.3333  0.6667  0.4262 [1 per cell]
Hg  0.6667  0.3333  0.8588 [1 per cell]

Results
* M_tot: 0.00 μB per formula unit
* DOS at the Fermi energy: 0.93 states/eV/f.u.
* density: 6775 kg/m3
* calculated formation energy: -357 meV per atom
* volume: 18.94 Å³/atom

***

[10]
DFT (meta-GGA SCAN) results for a PBEsol-optimized structure of InMo2Br.

Unit cell a=2.9224 b=4.5701 c=5.6430 alpha=90.00 beta=103.53 gamma=90.00
Space group Pm (No. 6)
Symmetry-distinct sites (fractional):
In  0.0000  0.0000  0.0000 [1 per cell]
Mo  0.2881  0.0000  0.4986 [1 per cell]
Mo  0.6631  0.5000  0.3009 [1 per cell]
Br  0.3325  0.5000  0.6802 [1 per cell]

Results
* M_tot: 0.00 μB per formula unit
* DOS at the Fermi energy: 3.92 states/eV/f.u.
* density: 8761 kg/m3
* uncorrected formation energy: 0.710 eV per atom
* volume: 18.32 Å³/atom

***

[11]
DFT (meta-GGA SCAN) results for a PBEsol-optimized structure of LiAuSe2.

Unit cell a=8.1601 b=3.7547 c=6.4022 alpha=90.00 beta=118.18 gamma=90.00
Space group C2/m (No. 12)
Symmetry-distinct sites (fractional):
Li  0.0000  0.0000  0.0000 [2 per cell]
Au  0.0000  0.0000  0.5000 [2 per cell]
Se  0.1330  0.5000  0.7876 [4 per cell]

Results
* M_tot: 0.00 μB per formula unit
* DOS at the Fermi energy: 0.26 states/eV/f.u.
* density: 6950 kg/m3
* uncorrected formation energy: -0.602 eV per atom
* volume: 21.61 Å³/atom

***

[12]
DFT (meta-GGA SCAN) results for a PBEsol-optimized structure of Zr2PtPb.

Unit cell a=3.1426 b=4.9521 c=5.1528 alpha=90.00 beta=92.50 gamma=90.00
Space group Pm (No. 6)
Symmetry-distinct sites (fractional):
Zr  0.0000  0.0000  0.0000 [1 per cell]
Zr  0.0958  0.5000  0.6318 [1 per cell]
Pt  0.5060  0.0000  0.4925 [1 per cell]
Pb  0.5497  0.5000  0.1356 [1 per cell]

Results
* M_tot: 0.00 μB per formula unit
* DOS at the Fermi energy: 3.34 states/eV/f.u.
* density: 12120 kg/m3
* calculated formation energy: -559 meV per atom
* volume: 20.03 Å³/atom

***

Question: Which value of M_tot does entry 5 give?
Answer: 0.00 μB per formula unit

***

Question: Among the records above, which one has the lowest density?
Answer: Rb3CuH